{
  "formula": "Li2Fe3SnO8",
  "functional": "PBE+U",
  "state": "optimized geometry",
  "final_energy_ev_per_cell": -171.85,
  "relative_energy_mev_per_atom": 0,
  "spacegroup": "P2/c, No. 13",
  "cell": [[5.966, 0.004, -0.004], [-0.004, 6.140, -0.001], [0.006, 0.233, 8.552]],
  "species": ["Li", "Li", "Li", "Li", "Fe", "Fe", "Fe", "Fe", "Fe", "Fe", "Sn", "Sn", "O", "O", "O", "O", "O", "O", "O", "O", "O", "O", "O", "O", "O", "O", "O", "O"],
  "frac_coords": [[0.001, 0.249, 0.120], [0.499, 0.749, 0.620], [0.001, 0.751, 0.880], [0.499, 0.251, 0.380], [0.750, 0.250, 0.750], [0.750, 0.750, 0.250], [0.250, 0.250, 0.750], [0.005, 0.500, 0.500], [0.495, 0.000, 0.000], [0.250, 0.750, 0.250], [0.005, 0.000, 0.500], [0.495, 0.500, 0.000], [0.015, 0.535, 0.260], [0.485, 0.035, 0.760], [0.015, 0.465, 0.740], [0.485, 0.965, 0.240], [0.238, 0.747, 0.478], [0.725, 0.246, 0.991], [0.775, 0.745, 0.491], [0.262, 0.247, 0.978], [0.011, 0.971, 0.256], [0.489, 0.471, 0.756], [0.011, 0.029, 0.744], [0.489, 0.529, 0.244], [0.238, 0.253, 0.522], [0.725, 0.755, 0.009], [0.775, 0.254, 0.509], [0.262, 0.753, 0.022]]
}